# MgGeIr2Pd (PBE, relaxed)
# - raw total energy (eV per atom) = -4.6550
# - DOS(E_F) (states/eV/atom) = 1.429
data_MgGeIr2Pd
_symmetry_space_group_name_H-M 'P 4/m m m'
_symmetry_Int_Tables_number 123
_symmetry_space_group_name_Hall '-P 4 2'
_cell_length_a 4.9145
_cell_length_b 4.9145
_cell_length_c 4.5140
_cell_angle_alpha 90.00
_cell_angle_beta 90.00
_cell_angle_gamma 90.00
loop_
_atom_site_label
_atom_site_type_symbol
_atom_site_fract_x
_atom_site_fract_y
_atom_site_fract_z
Mg1 Mg 0.0000 0.0000 0.0000
Ge1 Ge 0.5000 0.5000 0.0000
Ir1 Ir 0.0000 0.5000 0.5000
Pd1 Pd 0.5000 0.5000 0.5000